1.
Material: PrTh4Ni4
Method: DFT, GGA-PBE
State: relaxed

Calculated values
- volume (Å³/cell) = 440
- Fermi-level density of states (states/eV/cell) = 21.7
- uncorrected energy (eV/f.u.) = -59.77
- energy of formation from the pure elements (meV/atom) = -243
- crystal system = tetragonal

Unit cell a=8.6956 b=8.6956 c=5.8140 alpha=90.00 beta=90.00 gamma=90.00
Space group P4_2/n (No. 86, origin choice 2)
One atom of each set of equivalent atoms:
1 Pr 0.2500 0.2500 0.2500 x2
2 Th 0.0576 0.6647 0.1601 x8
3 Ni 0.0357 0.6183 0.6381 x8

---

2.
Material: La2Fe3SiNi12
Method: DFT, GGA-PBE
State: relaxed

Calculated values
- formation energy from raw total energies (eV/atom) = 0.10
- volume (Å³/cell) = 798
- Fermi-level density of states (states/eV/cell) = 47.0
- uncorrected energy (eV/f.u.) = -108.20
- crystal system = trigonal

Unit cell a=6.0882 b=6.0882 c=24.8496 alpha=90.00 beta=90.00 gamma=120.00
Space group R-3m (No. 166, hexagonal axes)
One atom of each set of equivalent atoms:
1 La 0.0000 0.0000 0.1581 x6
2 Fe 0.0000 0.5000 0.0000 x9
3 Si 0.0000 0.0000 0.5000 x3
4 Ni 0.0598 0.5299 0.0962 x18
5 Ni 0.0727 0.5364 0.6176 x18

---

3.
Material: KSn3Se
Method: DFT, GGA-PBE
State: relaxed

Calculated values
- formation energy from raw total energies (eV/atom) = 1.23
- volume (Å³/cell) = 207
- Fermi-level density of states (states/eV/cell) = 6.4
- uncorrected energy (eV/f.u.) = -10.42
- crystal system = cubic

Unit cell a=5.9188 b=5.9188 c=5.9188 alpha=90.00 beta=90.00 gamma=90.00
Space group Pm-3m (No. 221)
One atom of each set of equivalent atoms:
1 K 0.0000 0.0000 0.0000 x1
2 Sn 0.0000 0.0000 0.5000 x3
3 Se 0.5000 0.5000 0.5000 x1

---

4.
Material: Li2MnBe
Method: DFT, GGA-PBE
State: relaxed

Calculated values
- volume (Å³/cell) = 88
- Fermi-level density of states (states/eV/cell) = 2.6
- uncorrected energy (eV/f.u.) = -15.59
- energy of formation from the pure elements (meV/atom) = 283
- crystal system = monoclinic

Unit cell a=10.0635 b=2.2806 c=4.2028 alpha=90.00 beta=114.34 gamma=90.00
Space group C2/m (No. 12)
One atom of each set of equivalent atoms:
1 Li 0.2271 0.0000 0.2275 x4
2 Mn 0.0000 0.0000 0.5000 x2
3 Be 0.0000 0.5000 0.0000 x2

---

5.
Material: Ge2BCl
Method: DFT, GGA-PBE
State: relaxed

Calculated values
- formation energy from raw total energies (eV/atom) = 0.95
- volume (Å³/cell) = 262
- Fermi-level density of states (states/eV/cell) = 7.6
- uncorrected energy (eV/f.u.) = -13.95
- crystal system = cubic

Unit cell a=6.4012 b=6.4012 c=6.4012 alpha=90.00 beta=90.00 gamma=90.00
Space group Fm-3m (No. 225)
One atom of each set of equivalent atoms:
1 Ge 0.2500 0.2500 0.2500 x8
2 B 0.0000 0.0000 0.0000 x4
3 Cl 0.0000 0.0000 0.5000 x4

---

6.
Material: GdHoCoAu
Method: DFT, GGA-PBE
State: relaxed

Calculated values
- volume (Å³/cell) = 343
- Fermi-level density of states (states/eV/cell) = 13.9
- uncorrected energy (eV/f.u.) = -30.75
- energy of formation from the pure elements (meV/atom) = -428
- crystal system = cubic

Unit cell a=6.9974 b=6.9974 c=6.9974 alpha=90.00 beta=90.00 gamma=90.00
Space group F-43m (No. 216)
One atom of each set of equivalent atoms:
1 Gd 0.0000 0.0000 0.0000 x4
2 Ho 0.0000 0.0000 0.5000 x4
3 Co 0.2500 0.2500 0.7500 x4
4 Au 0.2500 0.2500 0.2500 x4

---

7.
Material: CuW2Br
Method: DFT, GGA-PBE
State: relaxed

Calculated values
- formation energy from raw total energies (eV/atom) = 0.74
- volume (Å³/cell) = 75
- Fermi-level density of states (states/eV/cell) = 6.0
- uncorrected energy (eV/f.u.) = -28.73
- crystal system = tetragonal

Unit cell a=2.9361 b=2.9361 c=8.6702 alpha=90.00 beta=90.00 gamma=90.00
Space group P4mm (No. 99)
One atom of each set of equivalent atoms:
1 Cu 0.0000 0.0000 0.0000 x1
2 W 0.0000 0.0000 0.4206 x1
3 W 0.5000 0.5000 0.1970 x1
4 Br 0.5000 0.5000 0.6250 x1

---

8.
Material: Nb2CrMoH
Method: DFT, GGA-PBE
State: relaxed

Calculated values
- volume (Å³/cell) = 66
- Fermi-level density of states (states/eV/cell) = 2.1
- uncorrected energy (eV/f.u.) = -44.20
- crystal system = tetragonal

Unit cell a=4.4894 b=4.4894 c=3.2993 alpha=90.00 beta=90.00 gamma=90.00
Space group P4/mmm (No. 123)
One atom of each set of equivalent atoms:
1 Nb 0.0000 0.5000 0.0000 x2
2 Cr 0.0000 0.0000 0.5000 x1
3 Mo 0.5000 0.5000 0.5000 x1
4 H 0.0000 0.0000 0.0000 x1

---

9.
Material: CaTeO3
Method: DFT, GGA-PBE
State: relaxed

Calculated values
- formation energy from raw total energies (eV/atom) = -1.96
- volume (Å³/cell) = 312
- Fermi-level density of states (states/eV/cell) = 0.0
- uncorrected energy (eV/f.u.) = -29.83
- crystal system = orthorhombic

Unit cell a=6.4723 b=8.4074 c=5.7347 alpha=90.00 beta=90.00 gamma=90.00
Space group Pnma (No. 62)
One atom of each set of equivalent atoms:
1 Ca 0.0000 0.0000 0.0000 x4
2 Te 0.0015 0.2500 0.4863 x4
3 O 0.0763 0.2500 0.8079 x4
4 O 0.1707 0.0824 0.3622 x8

---

10.
Material: MnFeBP
Method: DFT, GGA-PBE
State: relaxed

Calculated values
- volume (Å³/cell) = 80
- Fermi-level density of states (states/eV/cell) = 3.9
- uncorrected energy (eV/f.u.) = -30.56
- energy of formation from the pure elements (meV/atom) = -211
- crystal system = monoclinic

Unit cell a=7.2620 b=3.0481 c=4.8492 alpha=90.00 beta=131.42 gamma=90.00
Space group Cm (No. 8)
One atom of each set of equivalent atoms:
1 Mn 0.0000 0.0000 0.0000 x2
2 Fe 0.0085 0.5000 0.5077 x2
3 B 0.2524 0.0000 0.9152 x2
4 P 0.2577 0.5000 0.4044 x2

---

11.
Material: Li2CaZnRh
Method: DFT, GGA-PBE
State: relaxed

Calculated values
- volume (Å³/cell) = 105
- Fermi-level density of states (states/eV/cell) = 2.2
- uncorrected energy (eV/f.u.) = -14.91
- energy of formation from the pure elements (meV/atom) = -90
- crystal system = tetragonal

Unit cell a=4.6453 b=4.6453 c=4.8687 alpha=90.00 beta=90.00 gamma=90.00
Space group P4/mmm (No. 123)
One atom of each set of equivalent atoms:
1 Li 0.0000 0.5000 0.0000 x2
2 Ca 0.0000 0.0000 0.5000 x1
3 Zn 0.5000 0.5000 0.5000 x1
4 Rh 0.5000 0.5000 0.0000 x1

---

12.
Material: BePC
Method: DFT, GGA-PBE
State: relaxed

Calculated values
- volume (Å³/cell) = 61
- Fermi-level density of states (states/eV/cell) = 0.2
- uncorrected energy (eV/f.u.) = -17.56
- energy of formation from the pure elements (meV/atom) = 266
- crystal system = triclinic

Unit cell a=3.1888 b=4.8315 c=4.8877 alpha=61.81 beta=70.96 gamma=70.85
Space group P1 (No. 1)
One atom of each set of equivalent atoms:
1 Be 0.0000 0.0000 0.0000 x1
2 Be 0.1703 0.4846 0.2434 x1
3 P 0.3465 0.5804 0.7348 x1
4 P 0.7291 0.1764 0.4362 x1
5 C 0.5044 0.1596 0.8360 x1
6 C 0.8964 0.7519 0.4748 x1